Crystalline Cs5PmO4 at its relaxed geometry. Source: Alexandria, functional PBE.

## Properties
M_tot	0.000	μB per formula unit
energy	-4.4758	eV per atom
E_form (uncorrected)	-1.59	eV/atom
volume	30.7	Å³/atom

The structure in CIF format:
```
data_Cs5PmO4
_chemical_formula_sum 'Cs10 Pm2 O8'
_symmetry_space_group_name_H-M 'P m m n'
_symmetry_Int_Tables_number 59
_cell_length_a 8.656
_cell_length_b 10.079
_cell_length_c 7.031
_cell_angle_alpha 90.00
_cell_angle_beta 90.00
_cell_angle_gamma 90.00
loop_
_symmetry_equiv_pos_as_xyz
'x,y,z'
'-x,-y,-z'
'-x+1/2,-y+1/2,z'
'x+1/2,y+1/2,-z'
'x+1/2,-y,-z'
'-x+1/2,y,z'
'-x,y+1/2,-z'
'x,-y+1/2,z'
loop_
_atom_site_label
_atom_site_type_symbol
_atom_site_fract_x
_atom_site_fract_y
_atom_site_fract_z
Cs1 Cs 0.011 0.064 0.245
Cs2 Cs 0.250 0.750 0.321
Pm1 Pm 0.250 0.250 0.720
O1 O 0.030 0.250 0.891
O2 O 0.250 0.061 0.545
```

***

Crystalline CsPmO2 at its relaxed geometry. Source: Alexandria, functional PBE.

## Properties
energy relative to the lowest polymorph listed for this composition	0.000	eV/atom
M_tot	0.000	μB per formula unit
energy	-6.4158	eV per atom
E_form (uncorrected)	-2.54	eV/atom
volume	20.3	Å³/atom

The structure in CIF format:
```
data_CsPmO2
_chemical_formula_sum 'Cs3 Pm3 O6'
_symmetry_space_group_name_H-M 'R -3 m'
_symmetry_Int_Tables_number 166
_symmetry_space_group_name_Hall '-R 3 2"'
_cell_length_a 3.6748
_cell_length_b 3.6748
_cell_length_c 20.8256
_cell_angle_alpha 90.00
_cell_angle_beta 90.00
_cell_angle_gamma 120.00
loop_
_atom_site_label
_atom_site_type_symbol
_atom_site_fract_x
_atom_site_fract_y
_atom_site_fract_z
Cs1 Cs 0.0000 0.0000 0.0000
Pm1 Pm 0.0000 0.0000 0.5000
O1 O 0.0000 0.0000 0.2228
```

***

Crystalline Cs5Pm2O5 at its relaxed geometry. Source: Alexandria, functional PBE.

## Properties
M_tot	0.000	μB per formula unit
energy	-5.0659	eV per atom
E_form (uncorrected)	-1.85	eV/atom
volume	39.8	Å³/atom

The structure in CIF format:
```
data_Cs5Pm2O5
_chemical_formula_sum 'Cs10 Pm4 O10'
_symmetry_space_group_name_H-M 'C 1 2/m 1'
_symmetry_Int_Tables_number 12
_cell_length_a 21.257
_cell_length_b 4.118
_cell_length_c 10.974
_cell_angle_alpha 90.00
_cell_angle_beta 96.14
_cell_angle_gamma 90.00
loop_
_symmetry_equiv_pos_as_xyz
'x,y,z'
'-x,-y,-z'
'-x,y,-z'
'x,-y,z'
'x+1/2,y+1/2,z'
'-x+1/2,-y+1/2,-z'
'-x+1/2,y+1/2,-z'
'x+1/2,-y+1/2,z'
loop_
_atom_site_label
_atom_site_type_symbol
_atom_site_fract_x
_atom_site_fract_y
_atom_site_fract_z
Cs1 Cs 0.000 0.000 0.000
Cs2 Cs 0.115 0.000 0.523
Cs3 Cs 0.166 0.000 0.178
Pm1 Pm 0.009 0.500 0.707
O1 O 0.000 0.500 0.500
O2 O 0.052 0.000 0.750
O3 O 0.080 0.500 0.215
```

***

Number 3 is which compound?
Cs5Pm2O5